1.
A relaxed La3TlRe crystal, computed with PBE.

Calculated values
For the energy relative to the lowest polymorph listed for this composition, the calculation gives 0.000 eV per formula unit. The formation energy is 0.03 eV per atom. As for the magnetic moment: 0.000 Bohr magnetons per cell.

abc: 5.5358 5.5358 5.5358
angles: 90.00 90.00 90.00
Closest atoms and distances in Å follow each position.
Space group Pm-3m (No. 221)
Inequivalent atoms, fractional coordinates:
1 La 0.0000 0.0000 0.5000 [3 per cell]  2 Re 2.77
2 Tl 0.5000 0.5000 0.5000 [1 per cell]  12 La 3.91
3 Re 0.0000 0.0000 0.0000 [1 per cell]  6 La 2.77

***

2.
A relaxed SmYIn crystal, computed with PBE.

Calculated values
For the energy relative to the lowest polymorph listed for this composition, the calculation gives 0.360 eV per formula unit. The formation energy is -0.25 eV per atom. As for the magnetic moment: 0.000 Bohr magnetons per cell.

abc: 5.2709 5.2709 3.6936
angles: 90.00 90.00 120.00
Closest atoms and distances in Å follow each position.
Space group P3m1 (No. 156)
Inequivalent atoms, fractional coordinates:
1 Sm 0.0000 0.0000 0.0000 [1 per cell]  3 In 3.26, 3 Y 3.46
2 Y 0.6667 0.3333 0.4430 [1 per cell]  3 In 3.17, 3 Sm 3.46
3 In 0.3333 0.6667 0.6799 [1 per cell]  3 Y 3.17, 3 Sm 3.26

***

Question: The highest energy relative to the lowest polymorph listed for this composition belongs to which entry?
Answer: SmYIn

***

Question: Look up the magnetic moment of the second one.
Answer: 0.000 Bohr magnetons per cell

***

Copy entry 1 word for word.
A relaxed La3TlRe crystal, computed with PBE.

Calculated values
For the energy relative to the lowest polymorph listed for this composition, the calculation gives 0.000 eV per formula unit. The formation energy is 0.03 eV per atom. As for the magnetic moment: 0.000 Bohr magnetons per cell.

abc: 5.5358 5.5358 5.5358
angles: 90.00 90.00 90.00
Closest atoms and distances in Å follow each position.
Space group Pm-3m (No. 221)
Inequivalent atoms, fractional coordinates:
1 La 0.0000 0.0000 0.5000 [3 per cell]  2 Re 2.77
2 Tl 0.5000 0.5000 0.5000 [1 per cell]  12 La 3.91
3 Re 0.0000 0.0000 0.0000 [1 per cell]  6 La 2.77

***

Copy entry 2 word for word.
A relaxed SmYIn crystal, computed with PBE.

Calculated values
For the energy relative to the lowest polymorph listed for this composition, the calculation gives 0.360 eV per formula unit. The formation energy is -0.25 eV per atom. As for the magnetic moment: 0.000 Bohr magnetons per cell.

abc: 5.2709 5.2709 3.6936
angles: 90.00 90.00 120.00
Closest atoms and distances in Å follow each position.
Space group P3m1 (No. 156)
Inequivalent atoms, fractional coordinates:
1 Sm 0.0000 0.0000 0.0000 [1 per cell]  3 In 3.26, 3 Y 3.46
2 Y 0.6667 0.3333 0.4430 [1 per cell]  3 In 3.17, 3 Sm 3.46
3 In 0.3333 0.6667 0.6799 [1 per cell]  3 Y 3.17, 3 Sm 3.26